InBiS2 | GGA-PBE | optimized geometry

Mass density (g cm⁻³): 6.1
Total energy (eV/cell): -30.96
ΔE_f (raw) (eV/atom): -0.15
DOS(E_F) (states/eV/f.u.): 1.23
Total magnetic moment (μB/f.u.): 0.000

Geometry as extended XYZ:
```
8
Lattice="-13.071 3.590 -4.165 11.354 -6.740 5.171 -0.736 1.571 3.663" Properties=species:S:1:pos:R:3 pbc="T T T"
S 6.182 -4.238 4.180
S -8.635 2.659 0.489
S -10.577 2.850 -2.226
S 8.124 -4.429 6.895
Bi 9.920 -5.819 5.609
Bi -12.373 4.240 -0.940
In 3.725 -3.198 3.241
In -6.177 1.619 1.428
```

InBi4S7 | GGA-PBE | optimized geometry

Mass density (g cm⁻³): 6.2
Total energy (eV/cell): -51.12
ΔE_f (raw) (eV/atom): -0.33
DOS(E_F) (states/eV/f.u.): 5.05
Total magnetic moment (μB/f.u.): 0.000

Geometry as extended XYZ:
```
12
Lattice="-3.422 2.069 0.634 1.851 -2.777 6.125 6.153 10.325 -0.489" Properties=species:S:1:pos:R:3 pbc="T T T"
In 1.928 5.642 4.918
Bi 3.008 8.369 1.851
Bi 1.047 0.539 3.894
Bi 0.109 0.150 0.101
Bi 2.722 4.062 1.435
S 0.627 3.996 3.268
S 4.063 5.771 3.097
S 5.994 8.626 4.199
S -1.480 0.751 2.489
S 4.828 8.036 -0.167
S -0.182 1.798 6.073
S 1.612 6.545 0.269
```

Sc2InBiS | GGA-PBE | optimized geometry

Mass density (g cm⁻³): 5.7
Total energy (eV/cell): -25.74
ΔE_f (raw) (eV/atom): -0.47
DOS(E_F) (states/eV/f.u.): 6.40
Total magnetic moment (μB/f.u.): 0.000

Geometry as extended XYZ:
```
5
Lattice="4.891 0.000 0.000 0.000 5.423 0.000 0.000 0.000 4.891" Properties=species:S:1:pos:R:3 pbc="T T T"
Sc 0.000 0.000 2.445
Sc 2.445 0.000 0.000
S 0.000 0.000 0.000
Bi 2.445 2.712 2.445
In 0.000 2.712 0.000
```

InBiSeS | GGA-PBE | optimized geometry

Mass density (g cm⁻³): 6.2
Total energy (eV/cell): -15.12
ΔE_f (raw) (eV/atom): -0.22
DOS(E_F) (states/eV/f.u.): 0.96
Total magnetic moment (μB/f.u.): 0.000

Geometry as extended XYZ:
```
4
Lattice="3.880 -0.005 0.472 1.914 3.375 0.472 0.887 0.516 9.097" Properties=species:S:1:pos:R:3 pbc="T T T"
In 0.909 0.529 1.759
Bi 2.508 1.459 4.737
Se 6.160 3.583 7.103
S 2.991 1.740 0.838
```

In4SnBiS8 | GGA-PBE | optimized geometry

Mass density (g cm⁻³): 4.7
Total energy (eV/cell): -57.94
ΔE_f (raw) (eV/atom): -0.43
DOS(E_F) (states/eV/f.u.): 2.35
Total magnetic moment (μB/f.u.): 0.000

Geometry as extended XYZ:
```
14
Lattice="7.887 0.000 0.000 3.943 6.830 0.000 3.943 2.277 6.891" Properties=species:S:1:pos:R:3 pbc="T T T"
In 7.887 4.553 0.784
In 3.943 4.551 3.444
In 5.913 1.140 3.444
In 1.974 1.140 3.444
Sn 7.887 4.553 6.124
Bi 3.943 2.277 6.865
S 7.887 6.981 4.973
S 9.989 3.340 4.973
S 5.785 3.340 4.973
S 3.943 2.277 2.153
S 7.887 2.143 1.884
S 5.799 5.759 1.884
S 9.974 5.759 1.884
S 11.830 6.830 4.855
```

InBiTeS2 | GGA-PBE | optimized geometry

Mass density (g cm⁻³): 5.7
Total energy (eV/cell): -39.31
ΔE_f (raw) (eV/atom): -0.33
Total magnetic moment (μB/f.u.): 0.000

Geometry as extended XYZ:
```
10
Lattice="-1.897 -4.816 1.430 6.237 -1.738 2.420 -1.522 2.828 7.506" Properties=species:S:1:pos:R:3 pbc="T T T"
In 3.767 -0.328 8.933
In -0.949 -3.397 2.423
Bi -0.831 -2.346 6.121
Bi 3.649 -1.380 5.236
Te 1.197 -3.720 4.184
Te 1.621 -0.006 7.173
S 3.219 -2.803 9.956
S -0.402 -0.923 1.400
S -0.751 0.261 4.923
S 3.568 -3.986 6.433
```

Q: Number 1 is which compound?
A: InBiS2